Compound: TaAg7Se6
Source: Alexandria
Functional: PBE
Structure: optimized geometry

Computed properties:
For the density of states at the Fermi level, the calculation gives 0.09 states/eV per atom. The formation energy (no corrections) comes out at -186 meV/atom. The space-group type is No. 72. As for the total magnetic moment: 0.000 μB per atom. The total energy is -110.65 eV for the cell shown.

Cell lengths 11.6509, 11.6509, 11.6509 Å; angles 148.54, 125.50, 64.30 degrees
Atoms (fractional coordinates):
1 Ta 0.2500 0.2500 0.0000
2 Ta 0.7500 0.7500 0.0000
3 Ag 0.0135 0.9413 0.7385
4 Ag 0.0969 0.7968 0.8937
5 Ag 0.2028 0.2751 0.2615
6 Ag 0.2500 0.7500 0.5000
7 Ag 0.2972 0.5587 0.0722
8 Ag 0.4031 0.2968 0.6999
9 Ag 0.4865 0.2249 0.9278
10 Ag 0.5135 0.7751 0.0722
11 Ag 0.5969 0.7032 0.3001
12 Ag 0.7028 0.4413 0.9278
13 Ag 0.7500 0.2500 0.5000
14 Ag 0.7972 0.7249 0.7385
15 Ag 0.9031 0.2032 0.1063
16 Ag 0.9865 0.0587 0.2615
17 Se 0.0414 0.3949 0.0818
18 Se 0.1550 0.3685 0.5234
19 Se 0.1869 0.1051 0.6465
20 Se 0.3131 0.9596 0.9182
21 Se 0.3450 0.8685 0.2135
22 Se 0.4586 0.5404 0.3535
23 Se 0.5414 0.4596 0.6465
24 Se 0.6550 0.1315 0.7865
25 Se 0.6869 0.0404 0.0818
26 Se 0.8131 0.8949 0.3535
27 Se 0.8450 0.6315 0.4766
28 Se 0.9586 0.6051 0.9182